(1)
A plane-wave DFT calculation with GGA-PBE was carried out for CdAgF2 after structural relaxation.

## Properties
Fermi-level density of states: 1.18 states/eV/f.u.
relative energy among the computed polymorphs: 0.000 eV/atom
total magnetization: 0.0 μB per cell
raw formation energy: -1.3124 eV/atom

The structure in POSCAR format:
```
CdAgF2
1.0
-5.274 4.991 4.003
-5.473 2.146 5.847
-2.956 4.359 6.404
F Ag Cd
2 1 1
direct
0.880 0.880 0.880
0.120 0.120 0.120
0.000 0.000 0.000
0.500 0.500 0.500
```



(2)
A plane-wave DFT calculation with GGA-PBE was carried out for CdTe3 after structural relaxation.

## Properties
Fermi-level density of states: 2.30 states/eV/f.u.
total magnetization: 0.0 μB per cell
raw formation energy: 0.0239 eV/atom

The structure in POSCAR format:
```
CdTe3
1.0
4.132 0.000 0.000
0.000 4.117 0.000
0.000 0.000 8.341
Te Cd
3 1
direct
0.500 0.000 0.462
0.500 0.500 0.906
0.000 0.500 0.360
0.000 0.000 0.939
```



(3)
A plane-wave DFT calculation with GGA-PBE was carried out for NaSe2Br4 after structural relaxation.

## Properties
Fermi-level density of states: 2.72 states/eV/f.u.
total magnetization: 1.9 μB per cell
raw formation energy: -0.4263 eV/atom

The structure in POSCAR format:
```
NaSe2Br4
1.0
-7.527 -2.585 -2.666
6.440 -5.088 -2.802
-1.035 -8.091 2.914
Na Se Br
2 4 8
direct
0.500 0.671 0.829
0.000 0.065 0.936
0.598 0.206 0.844
0.403 0.558 0.391
0.389 0.838 0.213
0.611 0.398 0.550
0.307 0.103 0.608
0.164 0.632 0.127
0.692 0.084 0.206
0.685 0.634 0.093
0.316 0.222 0.051
0.836 0.708 0.532
0.804 0.106 0.672
0.195 0.523 0.698
```



(4)
A plane-wave DFT calculation with GGA-PBE was carried out for CdTeN2O after structural relaxation.

## Properties
Fermi-level density of states: 0.65 states/eV/f.u.
total magnetization: 0.0 μB per cell
raw formation energy: 0.7440 eV/atom

The structure in POSCAR format:
```
CdTeN2O
1.0
-3.091 2.604 0.177
-0.093 -0.385 4.026
2.575 3.033 0.349
N Te O Cd
2 1 1 1
direct
0.000 0.500 0.000
0.500 0.000 0.000
0.000 0.000 0.000
0.000 0.000 0.500
0.500 0.500 0.500
```



(5)
A plane-wave DFT calculation with GGA-PBE was carried out for Ta2TeAuBr after structural relaxation.

## Properties
Fermi-level density of states: 6.82 states/eV/f.u.
total magnetization: 1.7 μB per cell
raw formation energy: 1.6028 eV/atom

The structure in POSCAR format:
```
Ta2TeAuBr
1.0
-3.135 -1.199 -3.912
-0.785 -4.860 2.119
-4.021 1.812 2.667
Te Au Br Ta
1 1 1 2
direct
0.000 0.500 0.000
0.000 0.000 0.000
0.500 0.500 0.500
0.000 0.000 0.500
0.500 0.000 0.000
```



(6)
A plane-wave DFT calculation with GGA-PBE was carried out for PmDyGePd after structural relaxation.

## Properties
Fermi-level density of states: 1.46 states/eV/f.u.
relative energy among the computed polymorphs: 0.000 eV/atom
total magnetization: 0.0 μB per cell
formation enthalpy at 0 K: -0.858 eV per atom

The structure in POSCAR format:
```
PmDyGePd
1.0
-2.339 2.749 -1.687
1.269 -1.323 -3.915
-3.009 -5.008 0.717
Pm Dy Ge Pd
1 1 1 1
direct
0.859 0.500 0.717
0.136 0.000 0.272
0.583 0.500 0.167
0.422 0.000 0.844
```



(7)
A plane-wave DFT calculation with GGA-PBE was carried out for PPt2Pb after structural relaxation.

## Properties
Fermi-level density of states: 1.43 states/eV/f.u.
relative energy among the computed polymorphs: 0.108 eV/atom
total magnetization: 0.0 μB per cell
formation enthalpy at 0 K: -0.168 eV per atom

The structure in POSCAR format:
```
PPt2Pb
1.0
7.186 -1.819 -0.023
7.186 1.819 -0.023
6.735 0.000 3.096
P Pt Pb
1 2 1
direct
0.473 0.473 0.473
0.010 0.010 0.010
0.759 0.759 0.759
0.258 0.258 0.258
```



(8)
A plane-wave DFT calculation with GGA-PBE was carried out for LaPm3Pt2 after structural relaxation.

## Properties
Fermi-level density of states: 6.05 states/eV/f.u.
relative energy among the computed polymorphs: 0.149 eV/atom
total magnetization: 0.0 μB per cell
formation enthalpy at 0 K: -0.688 eV per atom

The structure in POSCAR format:
```
LaPm3Pt2
1.0
5.217 0.000 0.000
-2.608 9.174 -0.537
0.000 -4.673 7.272
La Pm Pt
2 6 4
direct
0.857 0.714 0.945
0.143 0.286 0.055
0.312 0.623 0.628
0.938 0.876 0.611
0.624 0.248 0.739
0.376 0.752 0.261
0.062 0.124 0.389
0.688 0.377 0.372
0.502 0.004 0.843
0.498 0.996 0.157
0.785 0.569 0.195
0.215 0.431 0.805
```



(9)
A plane-wave DFT calculation with GGA-PBE was carried out for Th2Co15Ni2 after structural relaxation.

## Properties
Fermi-level density of states: 24.08 states/eV/f.u.
total magnetization: 21.3 μB per cell
formation enthalpy at 0 K: -0.120 eV per atom

The structure in POSCAR format:
```
Th2Co15Ni2
1.0
6.310 -0.043 -0.039
0.776 6.263 -0.039
0.776 0.681 6.226
Th Co Ni
2 15 2
direct
0.341 0.341 0.341
0.659 0.659 0.659
0.500 0.000 0.000
0.000 0.000 0.500
0.000 0.500 0.000
0.000 0.717 0.283
0.717 0.283 0.000
0.283 0.000 0.717
0.283 0.717 0.000
0.717 0.000 0.283
0.000 0.283 0.717
0.151 0.654 0.654
0.654 0.654 0.151
0.654 0.151 0.654
0.849 0.346 0.346
0.346 0.346 0.849
0.346 0.849 0.346
0.102 0.102 0.102
0.898 0.898 0.898
```



(10)
A plane-wave DFT calculation with GGA-PBE was carried out for Ni2IrPtN after structural relaxation.

## Properties
Fermi-level density of states: 7.26 states/eV/f.u.
total magnetization: 1.3 μB per cell
raw formation energy: 0.2033 eV/atom

The structure in POSCAR format:
```
Ni2IrPtN
1.0
3.908 0.000 0.000
0.000 3.908 0.000
0.000 0.000 3.941
Ni Ir Pt N
2 1 1 1
direct
0.000 0.500 0.000
0.500 0.000 0.000
0.000 0.000 0.500
0.500 0.500 0.500
0.000 0.000 0.000
```



(11)
A plane-wave DFT calculation with GGA-PBE was carried out for ZnFe2 after structural relaxation.

## Properties
Fermi-level density of states: 1.75 states/eV/f.u.
total magnetization: 4.3 μB per cell
formation enthalpy at 0 K: 0.020 eV per atom

The structure in POSCAR format:
```
ZnFe2
1.0
-2.137 3.183 -1.445
-0.506 -3.721 -1.639
-1.822 -0.476 1.644
Zn Fe
1 2
direct
0.000 0.000 0.000
0.333 0.667 0.366
0.667 0.333 0.634
```



(12)
A plane-wave DFT calculation with GGA-PBE was carried out for MoIr5W4 after structural relaxation.

## Properties
Fermi-level density of states: 7.77 states/eV/f.u.
total magnetization: 0.0 μB per cell
formation enthalpy at 0 K: -0.277 eV per atom

The structure in POSCAR format:
```
MoIr5W4
1.0
-1.375 -2.366 0.459
0.137 -0.605 -2.705
17.078 -9.349 2.954
Mo Ir W
1 5 4
direct
0.000 0.000 0.000
0.500 0.500 0.100
0.500 0.500 0.300
0.500 0.500 0.500
0.500 0.500 0.700
0.500 0.500 0.900
0.000 0.000 0.200
0.000 0.000 0.400
0.000 0.000 0.600
0.000 0.000 0.800
```



(13)
A plane-wave DFT calculation with GGA-PBE was carried out for Ac2ErIrO6 after structural relaxation.

## Properties
total magnetization: 0.0 μB per cell
raw formation energy: -2.6216 eV/atom

The structure in POSCAR format:
```
Ac2ErIrO6
1.0
5.813 0.000 0.000
0.000 6.073 0.000
0.000 0.000 8.359
Ac Er Ir O
4 2 2 12
direct
0.500 0.786 0.229
0.000 0.214 0.729
0.500 0.786 0.771
0.000 0.214 0.271
0.000 0.720 0.500
0.500 0.280 0.000
0.500 0.227 0.500
0.000 0.773 0.000
0.500 0.216 0.255
0.500 0.216 0.745
0.000 0.784 0.245
0.000 0.784 0.755
0.248 0.992 0.500
0.752 0.992 0.500
0.244 0.457 0.500
0.756 0.457 0.500
0.744 0.543 0.000
0.256 0.543 0.000
0.252 0.008 0.000
0.748 0.008 0.000
```



(14)
A plane-wave DFT calculation with GGA-PBE was carried out for K2CrSnCl6 after structural relaxation.

## Properties
Fermi-level density of states: 3.88 states/eV/f.u.
total magnetization: 8.0 μB per cell
raw formation energy: -1.3704 eV/atom

The structure in POSCAR format:
```
K2CrSnCl6
1.0
7.206 0.000 -0.051
0.000 7.474 0.000
-0.010 0.000 10.379
K Cr Sn Cl
4 2 2 12
direct
0.019 0.938 0.248
0.519 0.562 0.748
0.981 0.062 0.752
0.481 0.438 0.252
0.500 0.000 0.500
0.000 0.500 0.000
0.500 0.000 0.000
0.000 0.500 0.500
0.280 0.689 0.042
0.780 0.811 0.542
0.720 0.311 0.958
0.220 0.189 0.458
0.314 0.721 0.456
0.814 0.779 0.956
0.686 0.279 0.544
0.186 0.221 0.044
0.916 0.518 0.233
0.416 0.982 0.733
0.084 0.482 0.767
0.584 0.018 0.267
```



(15)
A plane-wave DFT calculation with GGA-PBE was carried out for Li4TbPb7 after structural relaxation.

## Properties
Fermi-level density of states: 5.41 states/eV/f.u.
total magnetization: 0.0 μB per cell
formation enthalpy at 0 K: -0.136 eV per atom

The structure in POSCAR format:
```
Li4TbPb7
1.0
5.897 0.000 0.000
2.948 7.800 0.899
2.948 1.032 7.053
Li Tb Pb
4 1 7
direct
0.527 0.296 0.650
0.473 0.704 0.350
0.683 0.664 0.971
0.317 0.336 0.029
0.000 0.000 0.000
0.785 0.880 0.550
0.215 0.120 0.450
0.079 0.587 0.255
0.921 0.413 0.745
0.279 0.679 0.762
0.500 0.000 0.000
0.721 0.321 0.238
```



(16)
A plane-wave DFT calculation with GGA-PBE was carried out for ZnAs2Br after structural relaxation.

## Properties
Fermi-level density of states: 1.82 states/eV/f.u.
relative energy among the computed polymorphs: 0.084 eV/atom
total magnetization: 0.0 μB per cell
raw formation energy: -0.0873 eV/atom

The structure in POSCAR format:
```
ZnAs2Br
1.0
3.545 0.000 0.000
0.000 3.545 0.000
0.000 0.000 8.947
As Br Zn
2 1 1
direct
0.000 0.000 0.116
0.500 0.500 0.018
0.000 0.000 0.620
0.500 0.500 0.746
```



(17)
A plane-wave DFT calculation with GGA-PBE was carried out for Na2LiGe3Pt4 after structural relaxation.

## Properties
Fermi-level density of states: 2.92 states/eV/f.u.
total magnetization: 0.0 μB per cell
formation enthalpy at 0 K: -0.536 eV per atom

The structure in POSCAR format:
```
Na2LiGe3Pt4
1.0
-3.324 2.049 1.109
-2.312 -3.138 -1.133
0.777 -4.241 10.163
Na Li Ge Pt
2 1 3 4
direct
0.500 0.000 0.257
0.000 0.500 0.743
0.500 0.500 0.500
0.000 0.000 0.500
0.500 0.000 0.861
0.000 0.500 0.139
0.500 0.500 0.000
0.000 0.000 0.000
0.500 0.000 0.638
0.000 0.500 0.362
```



(18)
A plane-wave DFT calculation with GGA-PBE was carried out for Nd4Co2H after structural relaxation.

## Properties
Fermi-level density of states: 6.31 states/eV/f.u.
relative energy among the computed polymorphs: 0.122 eV/atom
total magnetization: 0.0 μB per cell

The structure in POSCAR format:
```
Nd4Co2H
1.0
-2.939 1.236 3.582
-1.498 -4.543 0.339
7.253 0.336 2.625
Co Nd H
2 4 1
direct
0.618 0.618 0.236
0.382 0.382 0.764
0.802 0.802 0.605
0.198 0.198 0.395
0.000 0.500 0.000
0.500 0.000 0.000
0.000 0.000 0.000
```



(19)
A plane-wave DFT calculation with GGA-PBE was carried out for Ho6IrO12 after structural relaxation.

## Properties
total magnetization: 3.0 μB per cell
raw formation energy: -3.0105 eV/atom

The structure in POSCAR format:
```
Ho6IrO12
1.0
-4.615 0.012 -4.503
-2.507 -4.438 3.949
-1.780 5.290 3.229
Ho Ir O
6 1 12
direct
0.685 0.856 0.389
0.611 0.315 0.144
0.144 0.611 0.315
0.315 0.144 0.611
0.389 0.685 0.856
0.856 0.389 0.685
0.000 0.000 0.000
0.823 0.567 0.409
0.409 0.823 0.567
0.567 0.409 0.823
0.177 0.433 0.591
0.591 0.177 0.433
0.433 0.591 0.177
0.072 0.964 0.299
0.036 0.701 0.928
0.701 0.928 0.036
0.928 0.036 0.701
0.964 0.299 0.072
0.299 0.072 0.964
```



(20)
A plane-wave DFT calculation with GGA-PBE was carried out for Pr2PtSe after structural relaxation.

## Properties
Fermi-level density of states: 2.49 states/eV/f.u.
relative energy among the computed polymorphs: 0.029 eV/atom
total magnetization: 0.0 μB per cell
raw formation energy: -1.4213 eV/atom

The structure in POSCAR format:
```
Pr2PtSe
1.0
4.190 0.000 0.000
-2.095 3.616 -0.237
0.000 -1.948 7.506
Pr Pt Se
2 1 1
direct
0.244 0.488 0.232
0.756 0.512 0.768
0.500 0.000 0.000
0.000 0.000 0.500
```



(21)
A plane-wave DFT calculation with GGA-PBE was carried out for Mn4TcPb after structural relaxation.

## Properties
Fermi-level density of states: 8.67 states/eV/f.u.
total magnetization: 5.7 μB per cell
formation enthalpy at 0 K: 0.401 eV per atom

The structure in POSCAR format:
```
Mn4TcPb
1.0
0.000 3.447 3.447
3.447 0.000 3.447
3.447 3.447 0.000
Mn Tc Pb
4 1 1
direct
0.877 0.374 0.374
0.374 0.374 0.877
0.374 0.877 0.374
0.374 0.374 0.374
0.000 0.000 0.000
0.750 0.750 0.750
```